[1]
AcAgH4 PBE relaxed; symmetry = C2/m; calculated total energy = -3.5542 eV/atom
1.0
7.9532 0.0000 0.0000
0.0000 5.2440 0.0000
-2.1222 0.0000 3.5606
Ac Ag H
2 2 8
Cartesian
0.0000 0.0000 0.0000 Ac
3.9766 2.6220 0.0000 Ac
-1.0611 2.6220 1.7803 Ag
2.9155 0.0000 1.7803 Ag
-0.0413 1.2075 2.4001 H
-0.0413 4.0365 2.4001 H
1.8957 1.4145 1.1605 H
1.8957 3.8295 1.1605 H
3.9353 1.4145 2.4001 H
3.9353 3.8295 2.4001 H
5.8723 1.2075 1.1605 H
5.8723 4.0365 1.1605 H



[2]
LiErCd3 PBE relaxed; E_form = -0.158 eV per atom; symmetry = P6_3/mmc
1.0
6.7877 0.0000 0.0000
-3.3938 5.8783 0.0000
0.0000 0.0000 5.4897
Li Er Cd
2 2 6
Cartesian
0.0000 0.0000 0.0000 Li
0.0000 0.0000 2.7448 Li
0.0000 3.9189 1.3724 Er
3.3938 1.9594 4.1172 Er
0.0000 2.2155 4.1172 Cd
-1.4751 4.7705 4.1172 Cd
1.9187 1.1078 1.3724 Cd
1.4751 4.7705 4.1172 Cd
4.8690 1.1078 1.3724 Cd
3.3938 3.6628 1.3724 Cd



[3]
RbNaF2 PBE relaxed; symmetry = I-42d; uncorrected formation energy = -2.62 eV per atom
1.0
6.2802 0.0000 0.0000
0.0000 6.2802 0.0000
0.0000 0.0000 8.3833
Rb Na F
4 4 8
Cartesian
0.0000 0.0000 0.0000 Rb
0.0000 3.1401 2.0958 Rb
3.1401 0.0000 6.2875 Rb
3.1401 3.1401 4.1917 Rb
0.0000 0.0000 4.1917 Na
0.0000 3.1401 6.2875 Na
3.1401 0.0000 2.0958 Na
3.1401 3.1401 0.0000 Na
1.1685 1.5700 5.2396 F
1.5700 4.3086 7.3354 F
1.5700 5.1117 3.1438 F
1.9716 1.5700 1.0479 F
4.3086 4.7101 1.0479 F
4.7101 1.1685 3.1438 F
4.7101 1.9716 7.3354 F
5.1117 4.7101 5.2396 F



[4]
MnSb2Au2 PBE relaxed; symmetry = P4/mbm; uncorrected formation energy = 0.15 eV per atom
1.0
7.2852 0.0000 0.0000
0.0000 7.2852 0.0000
0.0000 0.0000 4.1279
Mn Sb Au
2 4 4
Cartesian
0.0000 0.0000 0.0000 Mn
3.6426 3.6426 0.0000 Mn
1.2607 2.3819 2.0639 Sb
2.3819 6.0245 2.0639 Sb
4.9033 1.2607 2.0639 Sb
6.0245 4.9033 2.0639 Sb
1.0078 4.6504 0.0000 Au
2.6348 1.0078 0.0000 Au
4.6504 6.2774 0.0000 Au
6.2774 2.6348 0.0000 Au



[5]
PmBIrN PBE relaxed; symmetry = P4/nmm; uncorrected formation energy = -1.11 eV per atom
1.0
3.8191 0.0000 0.0000
0.0000 3.8191 0.0000
0.0000 0.0000 7.5385
Pm B Ir N
2 2 2 2
Cartesian
0.9548 0.9548 1.2573 Pm
2.8644 2.8644 6.2812 Pm
0.9548 0.9548 4.8982 B
2.8644 2.8644 2.6403 B
0.9548 2.8644 3.7692 Ir
2.8644 0.9548 3.7692 Ir
0.9548 0.9548 6.3974 N
2.8644 2.8644 1.1411 N



[6]
CaZrGa2Pt2 PBE relaxed; E_form = -0.919 eV per atom; symmetry = P-3m1
1.0
4.4361 0.0000 0.0000
-2.2181 3.8418 0.0000
0.0000 0.0000 6.9799
Ca Zr Ga Pt
1 1 2 2
Cartesian
0.0000 0.0000 0.0000 Ca
0.0000 0.0000 3.4900 Zr
0.0000 2.5612 1.9966 Ga
2.2181 1.2806 4.9833 Ga
0.0000 2.5612 4.8955 Pt
2.2181 1.2806 2.0844 Pt



Across the entries above, ρ takes the values 7.579, 7.754, 2.942, 10.496, 10.935, 9.226 g cm⁻³, respectively.
Across the entries above, D(E_F) takes the values 0.1448, 0.4130, 0.0000, 0.6357, 0.2909, 0.6515 states/eV per atom, respectively.
Across the entries above, total moment takes the values 0.000, 0.000, 0.000, 8.116, 0.000, 0.000 Bohr magnetons per cell, respectively.